(1)
Cs2KCe3S8 PBE relaxed; formation energy from raw total energies = -20.6 eV per formula unit; space group = No. 160; total magnetic moment = 1.09 μB/f.u.; density of states at the Fermi level = 0.469 states/eV/atom
1.0
4.216 2.434 8.148
-4.216 2.434 8.148
0.000 -4.868 8.148
Cs K Ce S
2 1 3 8
direct
0.000 0.000 0.000
0.365 0.365 0.365
0.740 0.740 0.740
0.364 0.364 0.863
0.364 0.863 0.364
0.863 0.364 0.364
0.108 0.108 0.549
0.108 0.549 0.108
0.140 0.140 0.140
0.170 0.625 0.625
0.549 0.108 0.108
0.590 0.590 0.590
0.625 0.170 0.625
0.625 0.625 0.170



(2)
BaLa4Ag5 PBE relaxed; space group = No. 123; total magnetic moment = 0.00 μB/f.u.; ΔE_f = -0.245 eV/atom; density of states at the Fermi level = 0.963 states/eV/atom
1.0
3.870 0.000 0.000
0.000 3.870 0.000
0.000 0.000 19.498
Ba La Ag
1 4 5
direct
0.000 0.000 0.000
0.000 0.000 0.208
0.000 0.000 0.403
0.000 0.000 0.597
0.000 0.000 0.792
0.500 0.500 0.119
0.500 0.500 0.304
0.500 0.500 0.500
0.500 0.500 0.696
0.500 0.500 0.881



(3)
RbLi3Tc PBE relaxed; space group = No. 221; total magnetic moment = 0.00 μB/f.u.; ΔE_f = 1.606 eV/atom; density of states at the Fermi level = 1.943 states/eV/atom; ΔE to the lowest computed polymorph = 0.7141 eV/atom
1.0
4.656 0.000 0.000
0.000 4.656 0.000
0.000 0.000 4.656
Rb Li Tc
1 3 1
direct
0.000 0.000 0.000
0.000 0.000 0.500
0.000 0.500 0.000
0.500 0.000 0.000
0.500 0.500 0.500



Question: Among the records above, which one has the lowest density of states at the Fermi level?
Answer: Cs2KCe3S8